Entry from Alexandria: a relaxed LaTlAs4 crystal (PBE).

Lattice parameters (Å, degrees): 5.8247 5.8247 5.8247 60.00 60.00 60.00
Closest atoms and distances in Å follow each position.
Sites, in units of the cell vectors:
La 0.0000 0.0000 0.0000  12 As 3.42, 4 Tl 3.57
Tl 0.7500 0.7500 0.7500  12 As 3.41, 4 La 3.57
As 0.3784 0.3784 0.3784  6 As 2.83-2.99
As 0.3784 0.3784 0.8647  6 As 2.83-2.99
As 0.3784 0.8647 0.3784  6 As 2.83-2.99
As 0.8647 0.3784 0.3784  6 As 2.83-2.99

crystal system = cubic
energy of formation from the pure elements = -290 meV per atom
DOS at the Fermi energy = 0.647 states/eV per atom



Entry from Alexandria: a relaxed LaTlAs2 crystal (PBE).

Lattice parameters (Å, degrees): 5.2363 5.2363 5.2363 60.00 60.00 60.00
Closest atoms and distances in Å follow each position.
Sites, in units of the cell vectors:
La 0.0000 0.0000 0.0000  4 Tl 3.21, 4 As 3.21
Tl 0.7500 0.7500 0.7500  4 La 3.21, 4 As 3.21
As 0.2500 0.2500 0.2500  4 La 3.21, 4 As 3.21
As 0.5000 0.5000 0.5000  4 Tl 3.21, 4 As 3.21

crystal system = cubic
energy of formation from the pure elements = -286 meV per atom
DOS at the Fermi energy = 0.742 states/eV per atom



Entry from Alexandria: a relaxed LaTl2As crystal (PBE).

Lattice parameters (Å, degrees): 5.3884 5.3884 5.3884 60.00 60.00 60.00
Closest atoms and distances in Å follow each position.
Sites, in units of the cell vectors:
La 0.0000 0.0000 0.0000  4 As 3.30, 4 Tl 3.30
Tl 0.2500 0.2500 0.2500  4 Tl 3.30, 4 La 3.30
Tl 0.5000 0.5000 0.5000  4 As 3.30, 4 Tl 3.30
As 0.7500 0.7500 0.7500  4 La 3.30, 4 Tl 3.30

crystal system = cubic
energy of formation from the pure elements = -346 meV per atom
DOS at the Fermi energy = 0.630 states/eV per atom



Entry from Alexandria: a relaxed LaTl2As crystal (PBE).

Lattice parameters (Å, degrees): 9.5051 9.5051 9.5051 23.19 23.19 23.19
Closest atoms and distances in Å follow each position.
Sites, in units of the cell vectors:
La 0.0000 0.0000 0.0000  6 Tl 3.49, 6 La 3.82
Tl 0.2361 0.2361 0.2361  3 As 2.93
Tl 0.7639 0.7639 0.7639  3 As 2.93
As 0.5000 0.5000 0.5000  6 Tl 2.93

crystal system = trigonal
energy of formation from the pure elements = -22 meV per atom
DOS at the Fermi energy = 0.961 states/eV per atom